Material: LiZr2Cr
Method: DFT, PBE-GGA
State: optimized geometry

The density of states at the Fermi level comes out at 2.40 states/eV/f.u. The value obtained for the total energy is -5.756 eV/atom. The calculation puts the total moment at 0.0000 μB per atom.

The structure belongs to space group I4_1/amd (No. 141, origin choice 2); the cell edges are 7.383, 7.383 and 10.403 Å and the angles 90.00°, 90.00° and 90.00°. Symmetry generates all atoms from Li at (0.000, 0.250, 0.375), Zr at (0.000, 0.000, 0.000) and Cr at (0.000, 0.250, 0.875).